Compound: CuReTc2
Source: the Alexandria database
Functional: PBE
Structure: optimized geometry

a b c (Å): 2.749 2.749 7.521
angles (deg): 90.00 90.00 90.00
Positions (direct):
1 Cu 0.500 0.500 0.250
2 Re 0.500 0.500 0.750
3 Tc 0.000 0.000 0.496
4 Tc 0.000 0.000 0.004

## Properties
The calculation puts the density at 13.02 Mg/m³. For the relative energy among the computed polymorphs, the calculation gives 49.0 meV per atom. Its energy relative to the elements is 0.194 eV/atom. As for the total DFT energy (no corrections): -9.13 eV/atom.